Record 1
Compound: Er6ZnCo
Source: Alexandria
Functional: PBE-GGA
Structure: optimized geometry

Cell: 4.895 4.895 9.168 Å, 74.52 74.51 90.00°
Fractional coordinates of all 8 atoms:
Er (0.403, 0.903, 0.195)
Er (0.749, 0.749, 0.502)
Er (0.097, 0.597, 0.805)
Er (0.903, 0.403, 0.195)
Er (0.597, 0.097, 0.805)
Er (0.251, 0.251, 0.498)
Zn (0.500, 0.500, 0.000)
Co (0.000, 0.000, 0.000)

Density of states at the Fermi level, states/eV/cell: 9.4
Formation energy, eV/f.u.: -0.76
Energy relative to the lowest polymorph listed for this composition, kJ per mole of atoms: 0.0
Energy, eV per cell: -36.515
V, A^3/atom: 25.42

Record 2
Compound: Mg2InPd
Source: Alexandria
Functional: PBE-GGA
Structure: optimized geometry

Cell: 8.080 8.080 6.337 Å, 50.39 50.39 90.00°
Fractional coordinates of all 8 atoms:
Pd (0.250, 0.750, 0.500)
Pd (0.500, 0.500, 0.000)
Mg (0.191, 0.625, 0.250)
Mg (0.375, 0.441, 0.750)
Mg (0.875, 0.809, 0.750)
Mg (0.559, 0.125, 0.250)
In (0.750, 0.250, 0.500)
In (0.000, 0.000, 0.000)

Density of states at the Fermi level, states/eV/cell: 3.3
Formation energy, eV/f.u.: -0.69
Energy, eV per cell: -23.621
V, A^3/atom: 22.36